No. 1
Density functional theory data (GGA-PBE) for a relaxed SrCuHg2Sb crystal.

a = 5.090 Å, b = 5.090 Å, c = 5.357 Å
α = 90.00°, β = 90.00°, γ = 90.00°
Fractional positions:
Hg (0.000, 0.500, 0.000)
Hg (0.500, 0.000, 0.000)
Sb (0.000, 0.000, 0.500)
Cu (0.000, 0.000, 0.000)
Sr (0.500, 0.500, 0.500)

Calculated values
- Mass density: 8.07 g/cm3
- Formation energy from raw total energies: -244 meV/atom
- VASP energy: -2.345 eV per atom
- Calculated volume: 139 Å³ per cell

***

No. 2
Density functional theory data (GGA-PBE) for a relaxed Sr2Cu3HgSb4 crystal.

a = 4.713 Å, b = 4.713 Å, c = 11.121 Å
α = 90.00°, β = 90.00°, γ = 90.00°
Fractional positions:
Sr (0.500, 0.000, 0.246)
Sr (0.000, 0.500, 0.754)
Cu (0.500, 0.000, 0.878)
Cu (0.000, 0.500, 0.122)
Cu (0.000, 0.000, 0.500)
Sb (0.000, 0.500, 0.353)
Sb (0.500, 0.000, 0.647)
Sb (0.000, 0.000, 0.000)
Sb (0.500, 0.500, 0.000)
Hg (0.500, 0.500, 0.500)

Calculated values
- Mass density: 7.08 g/cm3
- Formation energy from raw total energies: -383 meV/atom
- VASP energy: -3.627 eV per atom
- Calculated volume: 247 Å³ per cell

***

No. 3
Density functional theory data (GGA-PBE) for a relaxed Sr2Cu4HgSb3 crystal.

a = 4.519 Å, b = 4.519 Å, c = 11.023 Å
α = 90.00°, β = 90.00°, γ = 90.00°
Fractional positions:
Sr (0.500, 0.000, 0.242)
Sr (0.000, 0.500, 0.758)
Cu (0.000, 0.500, 0.363)
Cu (0.500, 0.500, 0.000)
Cu (0.000, 0.000, 0.000)
Cu (0.500, 0.000, 0.637)
Sb (0.000, 0.500, 0.130)
Sb (0.500, 0.000, 0.870)
Sb (0.000, 0.000, 0.500)
Hg (0.500, 0.500, 0.500)

Calculated values
- Mass density: 7.34 g/cm3
- Formation energy from raw total energies: -402 meV/atom
- VASP energy: -3.644 eV per atom
- Calculated volume: 225 Å³ per cell

***

No. 4
Density functional theory data (GGA-PBE) for a relaxed CuHgSb2Te crystal.

a = 5.151 Å, b = 5.151 Å, c = 5.260 Å
α = 90.00°, β = 90.00°, γ = 90.00°
Fractional positions:
Te (0.000, 0.000, 0.500)
Sb (0.500, 0.000, 0.000)
Sb (0.000, 0.500, 0.000)
Hg (0.500, 0.500, 0.500)
Cu (0.000, 0.000, 0.000)

Calculated values
- Excess energy over the best structure of this formula in the dataset: 0.00 eV/f.u.
- Mass density: 7.56 g/cm3
- Formation energy from raw total energies: 432 meV/atom
- VASP energy: -2.725 eV per atom
- Calculated volume: 140 Å³ per cell

***

No. 5
Density functional theory data (GGA-PBE) for a relaxed CuHg2SbTe4 crystal.

a = 6.612 Å, b = 6.612 Å, c = 7.995 Å
α = 114.44°, β = 114.44°, γ = 89.96°
Fractional positions:
Te (0.602, 0.602, 0.761)
Te (0.842, 0.397, 0.240)
Te (0.158, 0.158, 0.761)
Te (0.397, 0.842, 0.240)
Cu (0.500, 0.500, 0.000)
Hg (0.750, 0.250, 0.500)
Hg (0.250, 0.750, 0.500)
Sb (0.000, 0.000, 0.000)

Calculated values
- Mass density: 6.43 g/cm3
- Formation energy from raw total energies: -56 meV/atom
- VASP energy: -2.730 eV per atom
- Calculated volume: 283 Å³ per cell

***

No. 6
Density functional theory data (GGA-PBE) for a relaxed CuHgSbTe2 crystal.

a = 5.333 Å, b = 5.333 Å, c = 5.001 Å
α = 90.00°, β = 90.00°, γ = 90.00°
Fractional positions:
Te (0.500, 0.000, 0.000)
Te (0.000, 0.500, 0.000)
Sb (0.000, 0.000, 0.500)
Cu (0.000, 0.000, 0.000)
Hg (0.500, 0.500, 0.500)

Calculated values
- Excess energy over the best structure of this formula in the dataset: 0.00 eV/f.u.
- Mass density: 7.48 g/cm3
- Formation energy from raw total energies: 409 meV/atom
- VASP energy: -2.552 eV per atom
- Calculated volume: 142 Å³ per cell

***

No. 7
Density functional theory data (GGA-PBE) for a relaxed ScCuHg2 crystal.

a = 7.231 Å, b = 7.231 Å, c = 7.231 Å
α = 150.39°, β = 42.23°, γ = 150.58°
Fractional positions:
Cu (0.500, 0.000, 0.500)
Sc (0.000, 0.000, 0.000)
Hg (0.689, 0.000, 0.689)
Hg (0.311, 0.000, 0.311)

Calculated values
- Formation energy: 0.120 eV per atom
- Mass density: 9.25 g/cm3
- VASP energy: -2.637 eV per atom
- Calculated volume: 92 Å³ per cell

***

No. 8
Density functional theory data (GGA-PBE) for a relaxed Sc2CuHg crystal.

a = 8.423 Å, b = 8.423 Å, c = 8.423 Å
α = 23.82°, β = 23.82°, γ = 23.82°
Fractional positions:
Cu (0.250, 0.250, 0.250)
Hg (0.750, 0.750, 0.750)
Sc (0.991, 0.991, 0.991)
Sc (0.509, 0.509, 0.509)

Calculated values
- Formation energy: -0.139 eV per atom
- Mass density: 6.86 g/cm3
- VASP energy: -4.405 eV per atom
- Calculated volume: 86 Å³ per cell

***

No. 9
Density functional theory data (GGA-PBE) for a relaxed ScCu2Hg2 crystal.

a = 7.221 Å, b = 7.221 Å, c = 3.501 Å
α = 90.00°, β = 90.00°, γ = 90.00°
Fractional positions:
Sc (0.000, 0.000, 0.000)
Sc (0.500, 0.500, 0.000)
Cu (0.880, 0.620, 0.000)
Cu (0.380, 0.880, 0.000)
Cu (0.620, 0.120, 0.000)
Cu (0.120, 0.380, 0.000)
Hg (0.680, 0.820, 0.500)
Hg (0.320, 0.180, 0.500)
Hg (0.820, 0.320, 0.500)
Hg (0.180, 0.680, 0.500)

Calculated values
- Formation energy: -0.011 eV per atom
- Excess energy over the best structure of this formula in the dataset: 0.00 eV/f.u.
- Mass density: 10.43 g/cm3
- VASP energy: -3.036 eV per atom
- Calculated volume: 183 Å³ per cell

***

No. 10
Density functional theory data (GGA-PBE) for a relaxed ScCu2Hg crystal.

a = 4.093 Å, b = 3.293 Å, c = 5.383 Å
α = 72.28°, β = 90.00°, γ = 90.00°
Fractional positions:
Cu (0.000, 0.191, 0.992)
Cu (0.500, 0.063, 0.250)
Hg (0.000, 0.460, 0.455)
Sc (0.500, 0.786, 0.803)

Calculated values
- Formation energy: -0.110 eV per atom
- Mass density: 8.95 g/cm3
- VASP energy: -3.816 eV per atom
- Calculated volume: 69 Å³ per cell

***

No. 11
Density functional theory data (GGA-PBE) for a relaxed Sc3CuHg crystal.

a = 4.708 Å, b = 7.349 Å, c = 7.349 Å
α = 120.00°, β = 90.00°, γ = 90.00°
Fractional positions:
Hg (0.750, 0.667, 0.333)
Hg (0.250, 0.333, 0.667)
Cu (0.500, 0.000, 0.000)
Cu (0.000, 0.000, 0.000)
Sc (0.250, 0.810, 0.190)
Sc (0.250, 0.810, 0.620)
Sc (0.750, 0.190, 0.380)
Sc (0.250, 0.380, 0.190)
Sc (0.750, 0.620, 0.810)
Sc (0.750, 0.190, 0.810)

Calculated values
- Formation energy: -0.129 eV per atom
- Excess energy over the best structure of this formula in the dataset: 0.00 eV/f.u.
- Mass density: 6.02 g/cm3
- VASP energy: -4.808 eV per atom
- Calculated volume: 220 Å³ per cell

***

No. 12
Density functional theory data (GGA-PBE) for a relaxed Sc6Cu2Hg crystal.

a = 7.897 Å, b = 7.897 Å, c = 7.897 Å
α = 107.44°, β = 110.70°, γ = 110.29°
Fractional positions:
Sc (0.209, 0.761, 0.971)
Sc (0.791, 0.239, 0.029)
Sc (0.285, 0.606, 0.321)
Sc (0.903, 0.717, 0.186)
Sc (0.209, 0.239, 0.448)
Sc (0.791, 0.761, 0.552)
Sc (0.469, 0.283, 0.186)
Sc (0.715, 0.394, 0.679)
Sc (0.715, 0.036, 0.321)
Sc (0.531, 0.717, 0.814)
Sc (0.285, 0.964, 0.679)
Sc (0.097, 0.283, 0.814)
Hg (0.000, 0.500, 0.500)
Hg (0.000, 0.000, 0.000)
Cu (0.500, 0.629, 0.129)
Cu (0.363, 0.000, 0.363)
Cu (0.637, 0.000, 0.637)
Cu (0.500, 0.371, 0.871)

Calculated values
- Formation energy: -0.227 eV per atom
- Mass density: 5.24 g/cm3
- VASP energy: -5.391 eV per atom
- Calculated volume: 379 Å³ per cell

***

No. 13
Density functional theory data (GGA-PBE) for a relaxed Sc2CuHg2 crystal.

a = 7.228 Å, b = 7.228 Å, c = 4.289 Å
α = 90.00°, β = 90.00°, γ = 90.00°
Fractional positions:
Hg (0.350, 0.150, 0.500)
Hg (0.850, 0.350, 0.500)
Hg (0.150, 0.650, 0.500)
Hg (0.650, 0.850, 0.500)
Sc (0.656, 0.156, 0.000)
Sc (0.344, 0.844, 0.000)
Sc (0.844, 0.656, 0.000)
Sc (0.156, 0.344, 0.000)
Cu (0.000, 0.000, 0.000)
Cu (0.500, 0.500, 0.000)

Calculated values
- Formation energy: -0.031 eV per atom
- Excess energy over the best structure of this formula in the dataset: 0.87 eV/f.u.
- Mass density: 8.22 g/cm3
- VASP energy: -3.504 eV per atom
- Calculated volume: 224 Å³ per cell

***

No. 14
Density functional theory data (GGA-PBE) for a relaxed Sc5Cu4Hg crystal.

a = 3.264 Å, b = 3.264 Å, c = 17.080 Å
α = 90.00°, β = 90.00°, γ = 90.00°
Fractional positions:
Cu (0.000, 0.000, 0.595)
Cu (0.000, 0.000, 0.787)
Cu (0.000, 0.000, 0.213)
Cu (0.000, 0.000, 0.405)
Hg (0.000, 0.000, 0.000)
Sc (0.500, 0.500, 0.118)
Sc (0.500, 0.500, 0.500)
Sc (0.500, 0.500, 0.882)
Sc (0.500, 0.500, 0.691)
Sc (0.500, 0.500, 0.309)

Calculated values
- Formation energy: -0.307 eV per atom
- Mass density: 6.20 g/cm3
- VASP energy: -5.141 eV per atom
- Calculated volume: 182 Å³ per cell

***

No. 15
Density functional theory data (GGA-PBE) for a relaxed ScCuHg2 crystal.

a = 4.064 Å, b = 3.311 Å, c = 6.283 Å
α = 74.46°, β = 90.00°, γ = 90.00°
Fractional positions:
Hg (0.500, 0.185, 0.263)
Hg (0.000, 0.816, 0.990)
Cu (0.500, 0.954, 0.712)
Sc (0.000, 0.545, 0.535)

Calculated values
- Formation energy: -0.108 eV per atom
- Mass density: 10.39 g/cm3
- VASP energy: -2.865 eV per atom
- Calculated volume: 81 Å³ per cell

***

No. 16
Density functional theory data (GGA-PBE) for a relaxed Sc3CuHg2 crystal.

a = 3.305 Å, b = 3.305 Å, c = 11.180 Å
α = 90.00°, β = 90.00°, γ = 90.00°
Fractional positions:
Hg (0.500, 0.500, 0.820)
Hg (0.500, 0.500, 0.180)
Sc (0.000, 0.000, 0.000)
Sc (0.000, 0.000, 0.357)
Sc (0.000, 0.000, 0.643)
Cu (0.500, 0.500, 0.500)

Calculated values
- Formation energy: -0.365 eV per atom
- Excess energy over the best structure of this formula in the dataset: 0.00 eV/f.u.
- Mass density: 8.15 g/cm3
- VASP energy: -4.314 eV per atom
- Calculated volume: 122 Å³ per cell

***

No. 17
Density functional theory data (GGA-PBE) for a relaxed Sc2CuHg2 crystal.

a = 7.398 Å, b = 7.398 Å, c = 3.879 Å
α = 90.00°, β = 90.00°, γ = 90.00°
Fractional positions:
Hg (0.642, 0.142, 0.000)
Hg (0.142, 0.358, 0.000)
Hg (0.858, 0.642, 0.000)
Hg (0.358, 0.858, 0.000)
Sc (0.663, 0.837, 0.500)
Sc (0.837, 0.337, 0.500)
Sc (0.163, 0.663, 0.500)
Sc (0.337, 0.163, 0.500)
Cu (0.000, 0.000, 0.000)
Cu (0.500, 0.500, 0.000)

Calculated values
- Formation energy: -0.173 eV per atom
- Excess energy over the best structure of this formula in the dataset: 0.16 eV/f.u.
- Mass density: 8.68 g/cm3
- VASP energy: -3.645 eV per atom
- Calculated volume: 212 Å³ per cell

***

No. 18
Density functional theory data (GGA-PBE) for a relaxed ScCu2Hg crystal.

a = 4.957 Å, b = 4.957 Å, c = 4.957 Å
α = 52.08°, β = 52.08°, γ = 52.08°
Fractional positions:
Cu (0.291, 0.291, 0.291)
Cu (0.958, 0.958, 0.958)
Sc (0.736, 0.736, 0.736)
Hg (0.515, 0.515, 0.515)

Calculated values
- Formation energy: -0.133 eV per atom
- Mass density: 8.83 g/cm3
- VASP energy: -3.839 eV per atom
- Calculated volume: 70 Å³ per cell

***

No. 19
Density functional theory data (GGA-PBE) for a relaxed Sc2CuHg crystal.

a = 3.309 Å, b = 3.309 Å, c = 7.151 Å
α = 90.00°, β = 90.00°, γ = 89.99°
Fractional positions:
Cu (0.500, 0.500, 0.250)
Hg (0.500, 0.500, 0.750)
Sc (0.000, 0.000, 0.027)
Sc (0.000, 0.000, 0.473)

Calculated values
- Formation energy: -0.352 eV per atom
- Mass density: 7.51 g/cm3
- VASP energy: -4.617 eV per atom
- Calculated volume: 78 Å³ per cell

***

No. 20
Density functional theory data (GGA-PBE) for a relaxed Sc3CuHg crystal.

a = 5.268 Å, b = 5.268 Å, c = 5.268 Å
α = 90.00°, β = 90.00°, γ = 90.00°
Fractional positions:
Sc (0.500, 0.000, 0.000)
Sc (0.000, 0.000, 0.500)
Sc (0.000, 0.500, 0.000)
Hg (0.000, 0.000, 0.000)
Cu (0.500, 0.500, 0.500)

Calculated values
- Formation energy: 0.633 eV per atom
- Excess energy over the best structure of this formula in the dataset: 3.81 eV/f.u.
- Mass density: 4.53 g/cm3
- VASP energy: -4.045 eV per atom
- Calculated volume: 146 Å³ per cell